No. 1
# Ca3HgSe GGA-PBEsol relaxed
data_Ca3HgSe
_symmetry_space_group_name_H-M 'P m -3 m'
_symmetry_Int_Tables_number 221
_symmetry_space_group_name_Hall '-P 4 2 3'
_cell_length_a 5.454
_cell_length_b 5.454
_cell_length_c 5.454
_cell_angle_alpha 90.00
_cell_angle_beta 90.00
_cell_angle_gamma 90.00
loop_
_atom_site_label
_atom_site_type_symbol
_atom_site_fract_x
_atom_site_fract_y
_atom_site_fract_z
_atom_site_occupancy
Ca1 Ca 0.000 0.000 0.500 1
Hg1 Hg 0.500 0.500 0.500 1
Se1 Se 0.000 0.000 0.000 1
# Fermi-level density of states, states/eV per cell: 4.40
# Spin magnetization, μB per cell: 0.00
# Uncorrected energy, eV per atom: -2.90
# Energy relative to the elements, uncorrected, meV/atom: -739
# Theoretical density, g/cm³: 4.1
# Offset from the most stable computed form, meV/atom: 0

***

No. 2
# SrLaTe2 GGA-PBEsol relaxed
data_SrLaTe2
_symmetry_space_group_name_H-M 'P 4/m m m'
_symmetry_Int_Tables_number 123
_symmetry_space_group_name_Hall '-P 4 2'
_cell_length_a 4.571
_cell_length_b 4.571
_cell_length_c 6.472
_cell_angle_alpha 90.00
_cell_angle_beta 90.00
_cell_angle_gamma 90.00
loop_
_atom_site_label
_atom_site_type_symbol
_atom_site_fract_x
_atom_site_fract_y
_atom_site_fract_z
_atom_site_occupancy
Sr1 Sr 0.000 0.000 0.000 1
La1 La 0.500 0.500 0.500 1
Te1 Te 0.000 0.000 0.500 1
Te2 Te 0.500 0.500 0.000 1
# Fermi-level density of states, states/eV per cell: 1.46
# Spin magnetization, μB per cell: 0.00
# Uncorrected energy, eV per atom: -5.20
# Energy relative to the elements, uncorrected, meV/atom: -1637
# Theoretical density, g/cm³: 5.9
# Offset from the most stable computed form, meV/atom: 0

***

No. 3
# MnPbBr2 GGA-PBEsol relaxed
data_MnPbBr2
_symmetry_space_group_name_H-M 'C 1 2/m 1'
_symmetry_Int_Tables_number 12
_cell_length_a 11.616
_cell_length_b 3.477
_cell_length_c 5.572
_cell_angle_alpha 90.00
_cell_angle_beta 109.38
_cell_angle_gamma 90.00
loop_
_symmetry_equiv_pos_as_xyz
'x,y,z'
'-x,-y,-z'
'-x,y,-z'
'x,-y,z'
'x+1/2,y+1/2,z'
'-x+1/2,-y+1/2,-z'
'-x+1/2,y+1/2,-z'
'x+1/2,-y+1/2,z'
loop_
_atom_site_label
_atom_site_type_symbol
_atom_site_fract_x
_atom_site_fract_y
_atom_site_fract_z
_atom_site_occupancy
Mn1 Mn 0.000 0.000 0.000 1
Pb1 Pb 0.000 0.500 0.500 1
Br1 Br 0.171 0.500 0.193 1
# Fermi-level density of states, states/eV per cell: 2.61
# Spin magnetization, μB per cell: 8.53
# Uncorrected energy, eV per atom: -4.57
# Energy relative to the elements, uncorrected, meV/atom: -197
# Theoretical density, g/cm³: 6.6
# Offset from the most stable computed form, meV/atom: 16

***

No. 4
# Ba2CaTl GGA-PBEsol relaxed
data_Ba2CaTl
_symmetry_space_group_name_H-M 'R 3 m'
_symmetry_Int_Tables_number 160
_symmetry_space_group_name_Hall 'R 3 -2"'
_cell_length_a 4.1339
_cell_length_b 4.1339
_cell_length_c 35.9583
_cell_angle_alpha 90.00
_cell_angle_beta 90.00
_cell_angle_gamma 120.00
loop_
_atom_site_label
_atom_site_type_symbol
_atom_site_fract_x
_atom_site_fract_y
_atom_site_fract_z
_atom_site_occupancy
Ba1 Ba 0.0000 0.0000 0.0000 1
Ba2 Ba 0.0000 0.0000 0.2286 1
Ca1 Ca 0.0000 0.0000 0.7626 1
Tl1 Tl 0.0000 0.0000 0.4905 1
# Fermi-level density of states, states/eV per cell: 11.89
# Energy of formation, meV/atom: -117.9
# Spin magnetization, μB per cell: 0.00
# Uncorrected energy, eV per atom: -2.38
# Theoretical density, g/cm³: 4.9
# Offset from the most stable computed form, meV/atom: 118